# Pm2Nd2Ho2In, optimized geometry, DFT PBE-GGA
data_Pm2Nd2Ho2In
_cell_length_a 11.8441
_cell_length_b 3.5754
_cell_length_c 11.6742
_cell_angle_alpha 90.00
_cell_angle_beta 112.79
_cell_angle_gamma 90.00
_symmetry_space_group_name_H-M 'C 1 2/m 1'
_symmetry_Int_Tables_number 12
loop_
_symmetry_equiv_pos_as_xyz
'x,y,z'
'-x,-y,-z'
'-x,y,-z'
'x,-y,z'
'x+1/2,y+1/2,z'
'-x+1/2,-y+1/2,-z'
'-x+1/2,y+1/2,-z'
'x+1/2,-y+1/2,z'
loop_
_atom_site_label
_atom_site_fract_x
_atom_site_fract_y
_atom_site_fract_z
Pm1 0.1735 0.0000 0.0860
Nd1 0.0289 0.0000 0.7532
Ho1 0.2468 0.0000 0.6274
In1 0.0000 0.5000 0.5000
# * final energy: -62.3 eV per cell
# * magnetic moment: 0.00 μB/atom
# * DFT formation energy: -0.21 eV per formula unit